Record 1
DFT (GGA-PBE) results for an optimized crystal structure of Ti2BeTe2.

a b c (Å): 3.8489 3.8489 15.4542
angles (deg): 90.00 90.00 90.00
Space group I4/mmm (No. 139)
Unique sites:
Ti 0.0000 0.5000 0.2500 [4 per cell]
Be 0.0000 0.0000 0.0000 [2 per cell]
Te 0.0000 0.0000 0.3843 [4 per cell]

E: -4.900 eV per atom
relative energy among the computed polymorphs: 182 meV/atom
formation energy from raw total energies: 260 meV per atom
mass density: 5.2 g/cm³
total magnetic moment: 2.91 Bohr magnetons per cell

=====

Record 2
DFT (GGA-PBE) results for an optimized crystal structure of AlTlBr4.

a b c (Å): 11.0135 8.4263 10.7506
angles (deg): 90.00 99.18 90.00
Space group C2/c (No. 15)
Unique sites:
Al 0.0000 0.1485 0.2500 [4 per cell]
Tl 0.2500 0.2500 0.0000 [4 per cell]
Br 0.0371 0.3027 0.4309 [8 per cell]
Br 0.1727 0.0089 0.7365 [8 per cell]

E: -3.211 eV per atom
relative energy among the computed polymorphs: 8 meV/atom
formation energy from raw total energies: -1078 meV per atom
mass density: 3.7 g/cm³
total magnetic moment: 0.00 Bohr magnetons per cell

=====

Record 3
DFT (GGA-PBE) results for an optimized crystal structure of KSi2P.

a b c (Å): 6.8406 6.8406 6.8406
angles (deg): 90.00 90.00 90.00
Space group F-43m (No. 216)
Unique sites:
K 0.0000 0.0000 0.0000 [4 per cell]
Si 0.0000 0.0000 0.5000 [4 per cell]
Si 0.2500 0.2500 0.7500 [4 per cell]
P 0.2500 0.2500 0.2500 [4 per cell]

E: -3.553 eV per atom
relative energy among the computed polymorphs: 688 meV/atom
formation energy from raw total energies: 786 meV per atom
mass density: 2.6 g/cm³
total magnetic moment: 0.00 Bohr magnetons per cell

=====

Record 4
DFT (GGA-PBE) results for an optimized crystal structure of PmErSnHg.

a b c (Å): 7.5363 7.5363 7.5363
angles (deg): 90.00 90.00 90.00
Space group F-43m (No. 216)
Unique sites:
Pm 0.0000 0.0000 0.0000 [4 per cell]
Er 0.0000 0.0000 0.5000 [4 per cell]
Sn 0.2500 0.2500 0.2500 [4 per cell]
Hg 0.2500 0.2500 0.7500 [4 per cell]

DFT formation energy: -565 meV/atom
E: -3.969 eV per atom
relative energy among the computed polymorphs: 13 meV/atom
mass density: 9.8 g/cm³
total magnetic moment: 0.00 Bohr magnetons per cell